No. 1
{"formula": "Ho3Zr3Sb2Os", "functional": "PBE", "state": "optimized geometry", "de_polymorph_mev_per_atom": 172, "sg": "P-62m", "crystal_system": "hexagonal", "lattice_angstrom": [[8.0416, 0.0000, 0.0000], [-4.0208, 6.9643, 0.0000], [0.0000, 0.0000, 3.8312]], "species": ["Zr", "Zr", "Zr", "Ho", "Ho", "Ho", "Sb", "Sb", "Os"], "frac_coords": [[0.3963, 0.3963, 0.0000], [0.0000, 0.6037, 0.0000], [0.6037, 0.0000, 0.0000], [0.2483, 0.0000, 0.5000], [0.7517, 0.7517, 0.5000], [0.0000, 0.2483, 0.5000], [0.3333, 0.6667, 0.5000], [0.6667, 0.3333, 0.5000], [0.0000, 0.0000, 0.0000]]}

No. 2
{"formula": "HoScOs", "functional": "PBE", "state": "optimized geometry", "ef_mev_per_atom": 502.7, "sg": "F-43m", "crystal_system": "cubic", "lattice_angstrom": [[0.0000, 3.2185, 3.2185], [3.2185, 0.0000, 3.2185], [3.2185, 3.2185, 0.0000]], "species": ["Ho", "Sc", "Os"], "frac_coords": [[0.2500, 0.2500, 0.2500], [0.0000, 0.0000, 0.0000], [0.7500, 0.7500, 0.7500]]}

No. 3
{"formula": "SmHoSi2Os", "functional": "PBE", "state": "optimized geometry", "de_polymorph_mev_per_atom": 0, "sg": "C2/m", "crystal_system": "monoclinic", "lattice_angstrom": [[5.3617, -2.1233, 0.0000], [5.3617, 2.1233, 0.0000], [-4.8797, 0.0000, 8.8550]], "species": ["Ho", "Ho", "Sm", "Sm", "Si", "Si", "Si", "Si", "Os", "Os"], "frac_coords": [[0.9951, 0.9951, 0.3242], [0.0049, 0.0049, 0.6758], [0.1888, 0.1888, 0.1104], [0.8112, 0.8112, 0.8896], [0.6445, 0.6445, 0.5600], [0.3555, 0.3555, 0.4400], [0.5002, 0.5002, 0.8720], [0.4998, 0.4998, 0.1280], [0.7306, 0.7306, 0.3756], [0.2694, 0.2694, 0.6244]]}

No. 4
{"formula": "SmHoSi2Os", "functional": "PBE", "state": "optimized geometry", "de_polymorph_mev_per_atom": 21, "sg": "C2/m", "crystal_system": "monoclinic", "lattice_angstrom": [[5.4669, -2.1203, 0.0000], [5.4669, 2.1203, 0.0000], [-5.0260, 0.0000, 8.7728]], "species": ["Sm", "Sm", "Ho", "Ho", "Os", "Os", "Si", "Si", "Si", "Si"], "frac_coords": [[0.0130, 0.0130, 0.1816], [0.9870, 0.9870, 0.8184], [0.1810, 0.1810, 0.6096], [0.8190, 0.8190, 0.3904], [0.7272, 0.7272, 0.8727], [0.2728, 0.2728, 0.1273], [0.5000, 0.5000, 0.6243], [0.5000, 0.5000, 0.3757], [0.6505, 0.6505, 0.0626], [0.3495, 0.3495, 0.9374]]}